No. 1
The following is a DFT calculation (GGA-PBE) of an optimized crystal structure of InCl. Values from VASP.

## Properties
**Calculated volume**: 65.10 Å³/atom
**Formation energy (no corrections)**: -0.75 eV/atom

Structure (Quantum ESPRESSO input):
```
&SYSTEM
  ibrav = 0, nat = 16, ntyp = 2
/
ATOMIC_SPECIES
In 114.82 In.upf
Cl 35.45 Cl.upf
ATOMIC_POSITIONS crystal
In 0.3498 0.3498 0.3498
In 0.3498 0.6502 0.6502
In 0.6502 0.3498 0.6502
In 0.6502 0.6502 0.3498
In 0.8498 0.8498 0.8498
In 0.8498 0.1502 0.1502
In 0.1502 0.8498 0.1502
In 0.1502 0.1502 0.8498
Cl 0.1361 0.1361 0.1361
Cl 0.1361 0.8639 0.8639
Cl 0.8639 0.1361 0.8639
Cl 0.8639 0.8639 0.1361
Cl 0.6361 0.6361 0.6361
Cl 0.6361 0.3639 0.3639
Cl 0.3639 0.6361 0.3639
Cl 0.3639 0.3639 0.6361
CELL_PARAMETERS angstrom
10.1369 0.0000 0.0000
0.0000 10.1369 0.0000
0.0000 0.0000 10.1369
```

=====

No. 2
The following is a DFT calculation (GGA-PBE) of an optimized crystal structure of InCl2. Values from VASP.

## Properties
**Calculated volume**: 25.94 Å³/atom
**Formation energy (no corrections)**: -0.68 eV/atom

Structure (Quantum ESPRESSO input):
```
&SYSTEM
  ibrav = 0, nat = 3, ntyp = 2
/
ATOMIC_SPECIES
Cl 35.45 Cl.upf
In 114.82 In.upf
ATOMIC_POSITIONS crystal
Cl 0.0000 0.5000 0.5000
Cl 0.5000 0.0000 0.5000
In 0.0000 0.0000 0.0000
CELL_PARAMETERS angstrom
4.6961 0.0000 0.0000
0.0000 4.6961 0.0000
0.0000 0.0000 3.5281
```